1:
Here is an optimized crystal structure of PmDyTmCd from Alexandria. Energies are from GGA-PBE.

Properties
Calculated volume: 117 Å³/cell

a b c (Å): 3.5989 3.5989 9.0256
angles (deg): 90.00 90.00 90.00
Positions (direct):
Tm1 0.5000 0.5000 0.3496
Pm1 0.0000 0.0000 0.0736
Dy1 0.5000 0.5000 0.7940
Cd1 0.0000 0.0000 0.5675


2:
Here is an optimized crystal structure of PmDyTmCd from Alexandria. Energies are from GGA-PBE.

Properties
Calculated volume: 115 Å³/cell

a b c (Å): 5.4644 5.4644 5.4644
angles (deg): 60.00 60.00 60.00
Positions (direct):
Pm1 0.7500 0.7500 0.7500
Dy1 0.2500 0.2500 0.2500
Cd1 0.0000 0.0000 0.0000
Tm1 0.5000 0.5000 0.5000


Question: of the structures shown, which is the least stable? Reply: 2.